[1]
! Ni3BSe | Alexandria | GGA-PBE | optimized geometry; values from VASP
&SYSTEM
  ibrav = 0, nat = 5, ntyp = 3
/
ATOMIC_SPECIES
Ni 58.69 Ni.upf
B 10.81 B.upf
Se 78.96 Se.upf
CELL_PARAMETERS angstrom
4.327 0.000 0.000
0.000 4.327 0.000
0.000 0.000 4.327
ATOMIC_POSITIONS crystal
Ni 0.000 0.500 0.000
Ni 0.000 0.000 0.500
Ni 0.500 0.000 0.000
B 0.500 0.500 0.500
Se 0.000 0.000 0.000
! E above lowest polymorph	558	kJ/mol of formula units
! energy relative to the elements, uncorrected	1.20	eV/atom

[2]
! Th3Re | Alexandria | GGA-PBE | optimized geometry; values from VASP
&SYSTEM
  ibrav = 0, nat = 4, ntyp = 2
/
ATOMIC_SPECIES
Re 186.21 Re.upf
Th 232.04 Th.upf
CELL_PARAMETERS angstrom
-0.040 -2.941 -2.047
-1.476 -1.783 2.591
-8.797 2.439 -3.333
ATOMIC_POSITIONS crystal
Re 0.000 0.000 0.975
Th 0.000 0.500 0.478
Th 0.500 0.500 0.135
Th 0.500 0.000 0.746
! formation enthalpy at 0 K	0.40	eV per atom

[3]
! TlAgTe2 | Alexandria | GGA-PBE | optimized geometry; values from VASP
&SYSTEM
  ibrav = 0, nat = 4, ntyp = 3
/
ATOMIC_SPECIES
Tl 204.38 Tl.upf
Te 127.60 Te.upf
Ag 107.87 Ag.upf
CELL_PARAMETERS angstrom
-1.289 -7.485 0.740
1.561 -7.055 -2.455
2.875 -6.876 1.639
ATOMIC_POSITIONS crystal
Tl 0.250 0.250 0.250
Te 0.012 0.012 0.012
Te 0.488 0.488 0.488
Ag 0.750 0.750 0.750
! energy relative to the elements, uncorrected	-0.08	eV/atom

[4]
! BaNi2 | Alexandria | GGA-PBE | optimized geometry; values from VASP
&SYSTEM
  ibrav = 0, nat = 12, ntyp = 2
/
ATOMIC_SPECIES
Ba 137.33 Ba.upf
Ni 58.69 Ni.upf
CELL_PARAMETERS angstrom
4.974 0.000 -0.002
0.000 4.687 0.000
-4.329 0.000 11.774
ATOMIC_POSITIONS crystal
Ba 0.383 0.000 0.618
Ba 0.617 0.000 0.382
Ba 0.383 0.500 0.118
Ba 0.617 0.500 0.882
Ni 0.911 0.000 0.076
Ni 0.089 0.000 0.924
Ni 0.911 0.500 0.576
Ni 0.089 0.500 0.424
Ni 0.000 0.250 0.250
Ni 0.000 0.250 0.750
Ni 0.000 0.750 0.750
Ni 0.000 0.750 0.250
! formation enthalpy at 0 K	0.17	eV per atom

Ordered magnetization results: 0.00 0.00 0.00 0.53; unit μB/cell.